Computed, not measured: an optimized crystal structure of RbPAuSe2S at the PBE level of DFT.

Unit cell a=12.7249 b=7.3603 c=8.2645 alpha=90.00 beta=113.69 gamma=90.00
With the nearest neighbours (Å) after each atom.
Space group C2/m (No. 12)
One atom of each set of equivalent atoms:
Rb  0.2096  0.0000  0.2585 [4 per cell]  3 S 3.54-3.69, 6 Se 3.70-3.80, 2 Au 3.90
P  0.0271  0.5000  0.1499 [4 per cell]  1 S 1.98
Au  0.0000  0.2469  0.5000 [4 per cell]  2 Se 2.44
Se  0.0646  0.2466  0.8206 [8 per cell]  1 P 2.26, 1 Au 2.44
S  0.1967  0.5000  0.2758 [4 per cell]  1 P 1.98

Calculated values
**VASP energy**: -23.90 eV/f.u.